Computed, not measured: a geometry-optimized CdGa2Cl structure at the PBE level of DFT.

E_form (uncorrected) = -0.045 eV/atom
size of the total moment = 0.00 μB per cell
DFT total energy = -9.0 eV per cell
energy above the most stable polymorph in this dataset = 0.000 eV per formula unit

Unit cell a=5.077 b=5.077 c=5.077 alpha=60.00 beta=60.00 gamma=60.00
Sites, in units of the cell vectors:
Ga (0.250, 0.250, 0.250)
Ga (0.750, 0.750, 0.750)
Cl (0.000, 0.000, 0.000)
Cd (0.500, 0.500, 0.500)